1.
# PBE CsRbI2, relaxed
data_CsRbI2
_chemical_formula_sum 'Cs2 Rb2 I4'
_cell_length_a 10.5048
_cell_length_b 13.9792
_cell_length_c 15.1640
_cell_angle_alpha 90.00
_cell_angle_beta 90.00
_cell_angle_gamma 90.00
_space_group_name_H-M_alt 'I m m m'
_space_group_IT_number 71
_space_group_name_Hall '-I 2 2'
loop_
_atom_site_label
_atom_site_type_symbol
_atom_site_fract_x
_atom_site_fract_y
_atom_site_fract_z
_atom_site_occupancy
Cs1 Cs 0.0000 0.0000 0.0000 1
Rb1 Rb 0.0000 0.5000 0.0000 1
I1 I 0.0000 0.2564 0.0000 1
# * formation energy without anion corrections: -1.13 eV per atom
# * DFT total energy: -2.357 eV/atom
# * relative energy among the computed polymorphs: 1.59 eV/f.u.
# * ρ: 0.7 g/cm³
# * crystal system: orthorhombic



2.
# PBE SnIr4, relaxed
data_SnIr4
_chemical_formula_sum 'Sn1 Ir4'
_cell_length_a 4.7792
_cell_length_b 4.7792
_cell_length_c 4.7792
_cell_angle_alpha 90.00
_cell_angle_beta 90.00
_cell_angle_gamma 90.00
_space_group_name_H-M_alt 'P m -3 m'
_space_group_IT_number 221
_space_group_name_Hall '-P 4 2 3'
loop_
_atom_site_label
_atom_site_type_symbol
_atom_site_fract_x
_atom_site_fract_y
_atom_site_fract_z
_atom_site_occupancy
Sn1 Sn 0.0000 0.0000 0.0000 1
Ir1 Ir 0.0000 0.0000 0.5000 1
Ir2 Ir 0.5000 0.5000 0.5000 1
# * DFT total energy: -5.513 eV/atom
# * ρ: 13.5 g/cm³
# * crystal system: cubic
# * E_form: 2376.0 meV per atom



3.
# PBE Cr2NiBr, relaxed
data_Cr2NiBr
_chemical_formula_sum 'Cr4 Ni2 Br2'
_cell_length_a 5.5205
_cell_length_b 6.9843
_cell_length_c 2.9558
_cell_angle_alpha 90.00
_cell_angle_beta 90.00
_cell_angle_gamma 90.00
_space_group_name_H-M_alt 'C m m m'
_space_group_IT_number 65
_space_group_name_Hall '-C 2 2'
loop_
_atom_site_label
_atom_site_type_symbol
_atom_site_fract_x
_atom_site_fract_y
_atom_site_fract_z
_atom_site_occupancy
Cr1 Cr 0.2500 0.2500 0.0000 1
Ni1 Ni 0.0000 0.0000 0.5000 1
Br1 Br 0.0000 0.5000 0.5000 1
# * formation energy without anion corrections: 0.76 eV per atom
# * DFT total energy: -5.917 eV/atom
# * relative energy among the computed polymorphs: 1.57 eV/f.u.
# * ρ: 7.1 g/cm³
# * crystal system: orthorhombic



4.
# PBE LaNd2YEr2, relaxed
data_LaNd2YEr2
_chemical_formula_sum 'La2 Nd4 Y2 Er4'
_cell_length_a 7.0797
_cell_length_b 9.9292
_cell_length_c 5.6970
_cell_angle_alpha 90.00
_cell_angle_beta 90.00
_cell_angle_gamma 90.00
_space_group_name_H-M_alt 'P n n m'
_space_group_IT_number 58
_space_group_name_Hall '-P 2 2n'
loop_
_atom_site_label
_atom_site_type_symbol
_atom_site_fract_x
_atom_site_fract_y
_atom_site_fract_z
_atom_site_occupancy
La1 La 0.0000 0.0000 0.0000 1
Nd1 Nd 0.2466 0.3330 0.0000 1
Y1 Y 0.0000 0.5000 0.5000 1
Er1 Er 0.2502 0.1665 0.5000 1
# * DFT total energy: -4.949 eV/atom
# * ρ: 7.1 g/cm³
# * crystal system: orthorhombic
# * E_form: 60.1 meV per atom



5.
# PBE Cs2AuI6Cl, relaxed
data_Cs2AuI6Cl
_chemical_formula_sum 'Cs4 Au2 I12 Cl2'
_cell_length_a 8.5092
_cell_length_b 8.5092
_cell_length_c 11.7798
_cell_angle_alpha 90.00
_cell_angle_beta 90.00
_cell_angle_gamma 90.00
_space_group_name_H-M_alt 'I 4/m m m'
_space_group_IT_number 139
_space_group_name_Hall '-I 4 2'
loop_
_atom_site_label
_atom_site_type_symbol
_atom_site_fract_x
_atom_site_fract_y
_atom_site_fract_z
_atom_site_occupancy
Cs1 Cs 0.0000 0.5000 0.2500 1
Au1 Au 0.0000 0.0000 0.0000 1
I1 I 0.0000 0.0000 0.2412 1
I2 I 0.2296 0.2296 0.0000 1
Cl1 Cl 0.0000 0.0000 0.5000 1
# * formation energy without anion corrections: -0.66 eV per atom
# * DFT total energy: -2.269 eV/atom
# * ρ: 4.9 g/cm³
# * crystal system: tetragonal



6.
# PBE NaSr2H2, relaxed
data_NaSr2H2
_chemical_formula_sum 'Na1 Sr2 H2'
_cell_length_a 3.8987
_cell_length_b 3.8987
_cell_length_c 9.2119
_cell_angle_alpha 90.00
_cell_angle_beta 90.00
_cell_angle_gamma 90.00
_space_group_name_H-M_alt 'P 4/m m m'
_space_group_IT_number 123
_space_group_name_Hall '-P 4 2'
loop_
_atom_site_label
_atom_site_type_symbol
_atom_site_fract_x
_atom_site_fract_y
_atom_site_fract_z
_atom_site_occupancy
Na1 Na 0.0000 0.0000 0.0000 1
Sr1 Sr 0.5000 0.5000 0.3233 1
H1 H 0.0000 0.5000 0.5000 1
# * DFT total energy: -2.430 eV/atom
# * relative energy among the computed polymorphs: 0.80 eV/f.u.
# * ρ: 2.4 g/cm³
# * crystal system: tetragonal



7.
# PBE Sb2Au, relaxed
data_Sb2Au
_chemical_formula_sum 'Sb4 Au2'
_cell_length_a 5.1615
_cell_length_b 5.1615
_cell_length_c 6.3023
_cell_angle_alpha 90.00
_cell_angle_beta 90.00
_cell_angle_gamma 120.00
_space_group_name_H-M_alt 'P 63/m m c'
_space_group_IT_number 194
_space_group_name_Hall '-P 6c 2c'
loop_
_atom_site_label
_atom_site_type_symbol
_atom_site_fract_x
_atom_site_fract_y
_atom_site_fract_z
_atom_site_occupancy
Sb1 Sb 0.0000 0.0000 0.0000 1
Sb2 Sb 0.3333 0.6667 0.2500 1
Au1 Au 0.3333 0.6667 0.7500 1
# * formation energy without anion corrections: 0.22 eV per atom
# * DFT total energy: -3.623 eV/atom
# * ρ: 10.1 g/cm³
# * crystal system: hexagonal



8.
# PBE Na2TlPS4, relaxed
data_Na2TlPS4
_chemical_formula_sum 'Na4 Tl2 P2 S8'
_cell_length_a 7.0876
_cell_length_b 7.0876
_cell_length_c 8.1596
_cell_angle_alpha 90.00
_cell_angle_beta 90.00
_cell_angle_gamma 90.00
_space_group_name_H-M_alt 'I -4 2 m'
_space_group_IT_number 121
_space_group_name_Hall 'I -4 2'
loop_
_atom_site_label
_atom_site_type_symbol
_atom_site_fract_x
_atom_site_fract_y
_atom_site_fract_z
_atom_site_occupancy
Na1 Na 0.0000 0.5000 0.2500 1
Tl1 Tl 0.0000 0.0000 0.0000 1
P1 P 0.0000 0.0000 0.5000 1
S1 S 0.1703 0.1703 0.6418 1
# * formation energy without anion corrections: -0.72 eV per atom
# * DFT total energy: -4.085 eV/atom
# * ρ: 3.3 g/cm³
# * crystal system: tetragonal